A geometry-optimized LiTcPt4 structure, computed with PBE.

- Crystal system: cubic
- Energy of formation from the pure elements: 55 meV per atom

Cell lengths 7.4277, 7.4277, 7.4277 Å; angles 90.00, 90.00, 90.00 degrees
Space group F-43m (No. 216)
Unique sites:
Li: 0.0000 0.0000 0.0000 x4
Tc: 0.2500 0.2500 0.7500 x4
Pt: 0.1252 0.1252 0.3748 x16